VASP calculation (GGA-PBE) on a relaxed Cs2Zn2Cd crystal.

* E above lowest polymorph: 8 meV per atom
* electronic total energy: -0.866 eV per atom
* calculated volume: 43.75 Å³/atom
* ρ: 3.86 g/cm³
* DFT formation energy: 168 meV/atom

Unit cell a=7.3768 b=7.3768 c=6.5852 alpha=55.94 beta=55.94 gamma=90.00
Last column: nearest neighbours and their distance in Å.
Fractional coordinates of all 5 atoms:
Cs1 0.2500 0.7500 0.5000  4 Zn 3.76, 2 Cs 4.02, 4 Cd 4.20
Cs2 0.7500 0.2500 0.5000  4 Zn 3.76, 2 Cs 4.02, 4 Cd 4.20
Zn1 0.3423 0.3423 0.3154  1 Zn 2.54, 1 Cd 2.75
Zn2 0.6577 0.6577 0.6846  1 Zn 2.54, 1 Cd 2.75
Cd1 0.0000 0.0000 0.0000  2 Zn 2.75

***

VASP calculation (GGA-PBE) on a relaxed Cs3ZnCd crystal.

* E above lowest polymorph: 0 meV per atom
* electronic total energy: -0.756 eV per atom
* calculated volume: 73.39 Å³/atom
* ρ: 2.61 g/cm³
* DFT formation energy: 194 meV/atom

Unit cell a=7.1592 b=7.1592 c=7.1592 alpha=90.00 beta=90.00 gamma=90.00
Last column: nearest neighbours and their distance in Å.
Fractional coordinates of all 5 atoms:
Cs1 0.0000 0.0000 0.5000  2 Zn 3.58
Cs2 0.5000 0.0000 0.0000  2 Zn 3.58
Cs3 0.0000 0.5000 0.0000  2 Zn 3.58
Cd1 0.5000 0.5000 0.5000  12 Cs 5.06
Zn1 0.0000 0.0000 0.0000  6 Cs 3.58